6
Lattice="4.608 0.000 0.000 2.304 3.991 0.000 2.304 1.330 3.763" Properties=species:S:1:pos:R:3 comment="Ni4MoIr (meta-GGA SCAN, PBEsol geometry)" density_g_cm3=12.55 spacegroup="F-43m, No. 216" formation_energy_mev_per_atom=-67 pbc="T T T"
Ni 4.608 2.661 3.293
Ni 4.608 3.991 1.411
Ni 3.456 1.995 1.411
Mo 0.000 0.000 0.000
Ni 5.761 1.995 1.411
Ir 6.912 3.991 2.822